Ag5Pt at its PBEsol-relaxed geometry, computed with SCAN.

Cell lengths 4.013, 4.038, 6.321 Å; angles 71.37, 90.00, 90.00 degrees
Element x y z (fractional)
Pt 0.000 0.000 0.000
Ag 0.500 0.165 0.670
Ag 0.000 0.334 0.331
Ag 0.500 0.500 0.000
Ag 0.000 0.666 0.669
Ag 0.500 0.835 0.330

Output
calculated formation energy: 0 meV/atom
calculated volume: 97 Å³/cell
crystal system: orthorhombic
polymorph energy (0 for the lowest one): 0 meV per atom

=====

AgPt4 at its PBEsol-relaxed geometry, computed with SCAN.

Cell lengths 2.772, 3.933, 7.367 Å; angles 105.48, 100.85, 90.00 degrees
Each line ends with the local moment (μB).
Element x y z (fractional)
Pt 0.399 0.399 0.797  0.13
Pt 0.799 0.799 0.598  0.21
Pt 0.201 0.201 0.402  0.21
Pt 0.601 0.601 0.203  0.13
Ag 0.000 0.000 0.000  0.01

Output
calculated formation energy: 58 meV/atom
calculated volume: 76 Å³/cell
crystal system: orthorhombic
polymorph energy (0 for the lowest one): 32 meV per atom

=====

Ag7Pt5 at its PBEsol-relaxed geometry, computed with SCAN.

Cell lengths 4.835, 4.891, 8.884 Å; angles 100.89, 100.65, 108.51 degrees
Element x y z (fractional)
Ag 0.003 0.003 0.006
Ag 0.419 0.919 0.838
Ag 0.833 0.833 0.665
Ag 0.251 0.751 0.502
Ag 0.664 0.664 0.328
Ag 0.082 0.582 0.165
Ag 0.914 0.414 0.828
Pt 0.497 0.497 0.995
Pt 0.332 0.332 0.664
Pt 0.747 0.247 0.495
Pt 0.171 0.171 0.341
Pt 0.586 0.086 0.172

Output
calculated formation energy: -6 meV/atom
calculated volume: 189 Å³/cell
crystal system: monoclinic
polymorph energy (0 for the lowest one): 5 meV per atom

=====

Ag4Pt at its PBEsol-relaxed geometry, computed with SCAN.

Cell lengths 4.035, 4.907, 4.907 Å; angles 80.27, 65.72, 65.72 degrees
Element x y z (fractional)
Pt 0.000 0.000 0.000
Ag 0.799 0.600 0.803
Ag 0.601 0.197 0.600
Ag 0.201 0.400 0.197
Ag 0.399 0.803 0.400

Output
calculated formation energy: 5 meV/atom
calculated volume: 81 Å³/cell
crystal system: tetragonal
polymorph energy (0 for the lowest one): 19 meV per atom

=====

Ag2Pt3 at its PBEsol-relaxed geometry, computed with SCAN.

Cell lengths 4.803, 4.809, 7.505 Å; angles 84.00, 71.34, 70.92 degrees
Element x y z (fractional)
Ag 0.749 0.750 0.502
Ag 0.847 0.250 0.306
Ag 0.153 0.750 0.694
Ag 0.251 0.250 0.498
Pt 0.950 0.750 0.100
Pt 0.050 0.250 0.900
Pt 0.358 0.750 0.284
Pt 0.452 0.250 0.096
Pt 0.548 0.750 0.904
Pt 0.642 0.250 0.716

Output
calculated formation energy: 32 meV/atom
calculated volume: 155 Å³/cell
crystal system: monoclinic
polymorph energy (0 for the lowest one): 46 meV per atom

=====

Ag3Pt2 at its PBEsol-relaxed geometry, computed with SCAN.

Cell lengths 2.777, 2.777, 10.397 Å; angles 97.67, 97.67, 90.00 degrees
Element x y z (fractional)
Pt 0.100 0.100 0.199
Pt 0.900 0.900 0.801
Ag 0.301 0.301 0.602
Ag 0.699 0.699 0.398
Ag 0.500 0.500 0.000

Output
calculated formation energy: 25 meV/atom
calculated volume: 79 Å³/cell
crystal system: tetragonal
polymorph energy (0 for the lowest one): 69 meV per atom

=====

Ag7Pt5 at its PBEsol-relaxed geometry, computed with SCAN.

Cell lengths 3.984, 5.597, 8.483 Å; angles 90.00, 90.00, 90.00 degrees
Element x y z (fractional)
Ag 0.000 0.000 0.666
Ag 0.500 0.250 0.832
Ag 0.000 0.500 0.000
Ag 0.500 0.750 0.168
Ag 0.000 0.000 0.334
Ag 0.500 0.750 0.832
Ag 0.500 0.250 0.168
Pt 0.500 0.257 0.500
Pt 0.000 0.500 0.659
Pt 0.000 0.000 0.000
Pt 0.000 0.500 0.341
Pt 0.500 0.743 0.500

Output
calculated formation energy: 31 meV/atom
calculated volume: 189 Å³/cell
crystal system: orthorhombic
polymorph energy (0 for the lowest one): 42 meV per atom

=====

Ag5Pt4 at its PBEsol-relaxed geometry, computed with SCAN.

Cell lengths 3.945, 6.307, 6.307 Å; angles 84.39, 71.78, 71.78 degrees
Element x y z (fractional)
Pt 0.660 0.340 0.340
Pt 0.340 0.660 0.660
Pt 0.000 0.340 0.660
Pt 0.000 0.660 0.340
Ag 0.000 0.000 0.000
Ag 0.667 0.666 0.000
Ag 0.333 0.000 0.334
Ag 0.667 0.000 0.666
Ag 0.333 0.334 0.000

Output
calculated formation energy: 37 meV/atom
calculated volume: 142 Å³/cell
crystal system: tetragonal
polymorph energy (0 for the lowest one): 33 meV per atom